#A
6
Lattice="-1.401 -2.354 -1.865 2.628 0.030 -2.019 2.470 -3.794 5.882" Properties=species:S:1:pos:R:3 comment="Zr3C2N, relaxed, DFT PBE-GGA" total_magnetization_mub_per_fu=0.0 volume_a3_per_cell=77.4 spacegroup="I4/mmm (139)" pbc="T T T"
Zr 1.254 -2.184 -1.117
Zr 1.667 -2.672 2.137
Zr 3.309 -5.487 1.509
N 2.696 -4.325 3.451
C 0.631 -1.008 0.814
C 2.289 -3.848 0.206

#B
12
Lattice="5.736 0.164 0.283 -1.112 5.634 -0.210 -1.112 -2.976 4.789" Properties=species:S:1:pos:R:3 comment="Zr3C2N, relaxed, DFT PBE-GGA" total_magnetization_mub_per_fu=0.0 volume_a3_per_cell=154.8 spacegroup="C2/c (15)" pbc="T T T"
Zr -0.556 2.817 -0.105
Zr 4.061 2.882 3.303
Zr 2.312 -1.406 2.536
Zr 1.193 1.358 3.999
Zr 2.319 1.465 0.862
Zr -0.550 -0.060 1.559
N 0.322 2.098 1.938
N 3.190 0.725 2.924
C 0.322 -0.786 3.612
C 3.190 -2.133 4.583
C 0.322 4.956 0.279
C 3.190 3.609 1.249

Which structure loses on stability? #A does.

#A
8
Lattice="-5.804 -2.274 -8.903 -2.999 -3.770 -9.742 -5.215 -5.348 -7.895" Properties=species:S:1:pos:R:3 comment="Zr4CN3, relaxed, DFT PBE-GGA" total_magnetization_mub_per_fu=0.0 volume_a3_per_cell=100.2 spacegroup="R-3m (166)" pbc="T T T"
C 0.000 0.000 0.000
N -3.489 -2.836 -6.607
N -10.528 -8.556 -19.933
N -7.009 -5.696 -13.270
Zr -1.768 -1.437 -3.348
Zr -12.250 -9.954 -23.192
Zr -5.255 -4.271 -9.950
Zr -8.762 -7.120 -16.590

#B
8
Lattice="-4.414 -1.437 -0.070 1.238 -3.676 -2.550 0.734 -2.443 3.878" Properties=species:S:1:pos:R:3 comment="Zr4CN3, relaxed, DFT PBE-GGA" total_magnetization_mub_per_fu=0.0 volume_a3_per_cell=100.0 spacegroup="Pm-3m (221)" pbc="T T T"
N -1.588 -2.557 -1.310
N 0.986 -3.060 0.664
N -1.840 -1.940 1.904
Zr -1.221 -3.778 0.629
Zr 0.619 -1.838 -1.275
Zr -2.207 -0.719 -0.035
Zr 0.367 -1.222 1.939
C 0.000 0.000 0.000

Which structure loses on stability? #A does.

#A
6
Lattice="3.032 0.000 -1.265 -0.900 4.017 -2.158 0.582 0.482 5.660" Properties=species:S:1:pos:R:3 comment="Zr3CN2, relaxed, DFT PBE-GGA" total_magnetization_mub_per_fu=0.0 volume_a3_per_cell=75.6 spacegroup="Immm (71)" pbc="T T T"
C 1.516 0.000 -0.633
N 2.618 1.664 2.006
N 0.096 2.834 0.230
Zr 0.542 0.819 1.298
Zr 2.172 3.680 0.939
Zr 1.066 2.008 -1.712

#B
12
Lattice="-2.168 -2.338 4.739 0.926 -4.716 -3.059 4.398 2.835 2.254" Properties=species:S:1:pos:R:3 comment="Zr3CN2, relaxed, DFT PBE-GGA" total_magnetization_mub_per_fu=0.0 volume_a3_per_cell=151.3 spacegroup="C2/c (15)" pbc="T T T"
C 1.834 -2.148 0.344
C 1.322 -2.071 3.590
Zr -0.528 -2.188 4.955
Zr -0.013 -2.256 1.715
Zr 0.463 -2.358 -1.530
Zr 3.684 -2.031 -1.021
Zr 1.115 0.248 3.496
Zr 3.169 -1.963 2.219
N 0.172 -4.573 1.829
N 0.673 -4.672 -1.433
N 2.483 0.453 5.366
N 2.984 0.354 2.104

Which structure loses on stability? #B does.

#A
8
Lattice="-0.226 2.879 -4.774 -1.873 -4.540 -2.648 -5.685 0.490 -2.696" Properties=species:S:1:pos:R:3 comment="NaNbC2, relaxed, DFT PBE-GGA" total_magnetization_mub_per_fu=0.0 volume_a3_per_cell=153.4 spacegroup="I-42d (122)" pbc="T T T"
C -4.854 0.222 -4.527
C -6.298 -1.564 -8.795
C -1.821 1.657 -4.491
C -2.597 -2.658 -2.424
Nb 0.000 0.000 0.000
Nb -3.481 1.269 -5.591
Na -1.050 -0.831 -3.711
Na -4.304 -2.440 -4.528

#B
4
Lattice="-0.051 -3.127 2.449 0.133 0.553 3.931 -3.212 -0.733 2.219" Properties=species:S:1:pos:R:3 comment="NaNbC2, relaxed, DFT PBE-GGA" total_magnetization_mub_per_fu=0.0 volume_a3_per_cell=44.3 spacegroup="Fm-3m (225)" pbc="T T T"
C -0.783 -0.827 2.150
C -2.348 -2.480 6.449
Nb -1.565 -1.654 4.299
Na 0.000 0.000 0.000

Which structure loses on stability? #B does.

#A
8
Lattice="-1.283 2.952 -2.068 -3.604 -1.047 0.741 -2.434 4.579 4.508" Properties=species:S:1:pos:R:3 comment="NaNiC2, relaxed, DFT PBE-GGA" total_magnetization_mub_per_fu=0.0 volume_a3_per_cell=92.4 spacegroup="I4_1/amd (141)" pbc="T T T"
Ni 0.000 0.000 0.000
Ni -3.080 4.241 0.888
Na -4.241 2.242 2.293
Na -2.443 0.952 -0.663
C -2.181 3.594 -0.588
C -3.985 3.075 -0.221
C -3.396 5.887 1.664
C -2.760 4.409 2.699

#B
4
Lattice="0.000 2.658 2.658 2.658 0.000 2.658 2.658 2.658 0.000" Properties=species:S:1:pos:R:3 comment="NaNiC2, relaxed, DFT PBE-GGA" total_magnetization_mub_per_fu=0.0 volume_a3_per_cell=37.6 spacegroup="Fm-3m (225)" pbc="T T T"
C 1.329 1.329 1.329
C 3.987 3.987 3.987
Ni 2.658 2.658 2.658
Na 0.000 0.000 0.000

Which structure loses on stability? #B does.

#A
5
Lattice="-1.102 2.851 -2.677 0.581 -2.631 -3.041 -3.867 -1.208 0.306" Properties=species:S:1:pos:R:3 comment="NaNiC3, relaxed, DFT PBE-GGA" total_magnetization_mub_per_fu=0.0 volume_a3_per_cell=67.1 spacegroup="Pm-3m (221)" pbc="T T T"
C -1.934 -0.604 0.153
C 0.291 -1.315 -1.521
C -0.551 1.425 -1.338
Na 0.000 0.000 0.000
Ni -2.194 -0.494 -2.706

#B
5
Lattice="-2.400 2.457 -1.598 -0.279 -2.248 -3.037 -2.918 -1.806 1.605" Properties=species:S:1:pos:R:3 comment="NaNiC3, relaxed, DFT PBE-GGA" total_magnetization_mub_per_fu=0.7 volume_a3_per_cell=54.4 spacegroup="Pm-3m (221)" pbc="T T T"
Na -2.798 -0.799 -1.515
C -1.459 -0.903 0.803
C -1.200 1.228 -0.799
C -0.139 -1.124 -1.518
Ni 0.000 0.000 0.000

Which structure loses on stability? #A does.

#A
16
Lattice="-0.346 0.287 4.381 -1.738 -4.601 0.164 10.323 -3.861 1.069" Properties=species:S:1:pos:R:3 comment="NaNpCO5, relaxed, DFT PBE-GGA" total_magnetization_mub_per_fu=2.0 volume_a3_per_cell=240.0 spacegroup="Pmn2_1 (31)" pbc="T T T"
O 9.132 -6.018 1.774
O 1.639 -0.577 1.179
O 3.867 -5.430 1.853
O -0.585 -1.067 3.259
O 5.744 -4.653 4.174
O 4.596 -1.585 4.236
O 8.495 -3.136 2.034
O -1.396 -3.213 3.336
O 2.299 -3.369 3.672
O 4.795 -2.976 1.765
Na 2.375 -0.773 3.467
Na 6.826 -5.136 2.074
Np 4.013 -4.007 3.938
Np 10.223 -3.786 2.125
C -1.165 -2.055 3.840
C 5.113 -1.890 1.158

#B
16
Lattice="5.474 0.161 -0.107 -1.444 5.282 -0.107 -1.805 -2.438 7.061" Properties=species:S:1:pos:R:3 comment="NaNpCO5, relaxed, DFT PBE-GGA" total_magnetization_mub_per_fu=2.0 volume_a3_per_cell=203.0 spacegroup="C2/c (15)" pbc="T T T"
O -1.278 4.216 1.658
O 2.934 -0.012 2.404
O -0.344 0.746 4.309
O 3.995 1.421 0.913
O 0.509 1.897 6.069
O -0.709 3.017 4.443
O 2.568 2.260 2.538
O 1.716 1.108 0.778
O -1.770 1.584 5.935
O 3.503 -1.211 5.189
C 2.816 1.185 1.658
C -0.592 1.821 5.189
Na 1.722 0.107 5.189
Na 0.502 2.898 1.658
Np -0.902 -1.219 3.531
Np 0.000 0.000 0.000

Which structure loses on stability? #B does.

#A
32
Lattice="6.737 0.000 0.000 0.000 6.873 0.000 0.000 0.000 7.844" Properties=species:S:1:pos:R:3 comment="Na3CO4, relaxed, DFT PBE-GGA" total_magnetization_mub_per_fu=1.0 volume_a3_per_cell=363.2 spacegroup="Pnma (62)" pbc="T T T"
C 4.851 6.798 1.961
C 1.886 0.076 5.883
C 1.483 3.512 1.961
C 5.254 3.361 5.883
Na 3.106 5.352 3.624
Na 3.106 5.352 0.298
Na 0.262 1.916 7.546
Na 4.517 3.046 1.961
Na 2.220 3.827 5.883
Na 5.588 6.482 5.883
Na 1.149 0.391 1.961
Na 6.475 4.957 0.298
Na 0.262 1.916 4.220
Na 3.631 1.521 4.220
Na 6.475 4.957 3.624
Na 3.631 1.521 7.546
O 4.574 3.769 7.037
O 4.771 5.397 1.961
O 3.169 6.375 5.883
O 0.199 2.938 1.961
O 3.568 0.499 1.961
O 2.163 3.104 3.114
O 5.532 0.332 3.114
O 5.334 1.961 5.883
O 1.205 6.541 7.037
O 4.574 3.769 4.730
O 1.403 4.912 1.961
O 5.532 0.332 0.808
O 1.966 1.476 5.883
O 2.163 3.104 0.808
O 1.205 6.541 4.730
O 6.538 3.935 5.883

#B
8
Lattice="4.953 0.000 0.000 -1.651 4.669 0.000 -1.651 -2.335 4.044" Properties=species:S:1:pos:R:3 comment="Na3CO4, relaxed, DFT PBE-GGA" total_magnetization_mub_per_fu=1.0 volume_a3_per_cell=93.5 spacegroup="I-43m (217)" pbc="T T T"
O -1.181 3.341 0.000
O -1.181 -1.671 2.894
O 3.544 0.000 0.000
O 0.470 0.664 1.150
C 0.000 0.000 0.000
Na 1.651 -1.167 2.022
Na -1.651 1.167 2.022
Na 1.651 2.335 0.000

Which structure loses on stability? #B does.

#A
14
Lattice="5.286 0.000 0.000 0.000 6.005 -1.279 0.000 -0.139 6.138" Properties=species:S:1:pos:R:3 comment="Na2CO4, relaxed, DFT PBE-GGA" total_magnetization_mub_per_fu=2.0 volume_a3_per_cell=193.9 spacegroup="Cmcm (63)" pbc="T T T"
O 1.322 5.521 3.468
O 1.322 1.431 0.080
O 2.439 1.402 4.278
O 3.965 0.345 1.391
O 5.082 4.464 0.581
O 3.965 4.436 4.779
O 0.205 1.402 4.278
O 2.848 4.464 0.581
C 3.965 4.982 -0.045
C 1.322 0.884 4.903
Na 3.965 2.198 -0.007
Na 3.965 5.464 2.698
Na 1.322 3.668 4.866
Na 1.322 0.402 2.161

#B
7
Lattice="4.610 0.000 0.000 0.000 4.610 0.000 2.305 2.305 4.754" Properties=species:S:1:pos:R:3 comment="Na2CO4, relaxed, DFT PBE-GGA" total_magnetization_mub_per_fu=2.0 volume_a3_per_cell=101.0 spacegroup="I4/mmm (139)" pbc="T T T"
O 2.305 0.000 0.000
O 2.305 2.305 3.566
O 4.610 4.610 1.188
O 0.000 2.305 0.000
C 0.000 0.000 0.000
Na 4.610 4.610 3.501
Na 2.305 2.305 1.253

#C
14
Lattice="5.313 0.000 -0.291 0.000 5.306 0.000 -2.278 0.000 5.682" Properties=species:S:1:pos:R:3 comment="Na2CO4, relaxed, DFT PBE-GGA" total_magnetization_mub_per_fu=0.0 volume_a3_per_cell=156.7 spacegroup="P2_1/m (11)" pbc="T T T"
O 3.374 1.327 3.585
O 1.345 2.529 3.427
O 1.759 1.327 5.243
O 1.276 3.980 0.147
O 1.690 5.182 1.963
O -0.339 3.980 1.805
O 1.690 2.778 1.963
O 1.345 0.125 3.427
Na 3.563 3.980 3.288
Na 1.316 3.980 5.396
Na -0.528 1.327 2.103
Na 1.719 1.327 -0.005
C 0.910 3.980 1.429
C 2.125 1.327 3.961

Which structure loses on stability? #B does.

#A
5
Lattice="-3.123 1.560 -1.505 0.938 -1.407 -3.405 -2.484 -4.028 0.979" Properties=species:S:1:pos:R:3 comment="NaP2CO, relaxed, DFT PBE-GGA" total_magnetization_mub_per_fu=0.0 volume_a3_per_cell=69.8 spacegroup="P4/mmm (123)" pbc="T T T"
P -1.561 0.780 -0.753
P 0.469 -0.703 -1.702
C 0.000 0.000 0.000
Na -2.334 -1.937 -1.965
O -1.242 -2.014 0.490

#B
5
Lattice="4.862 0.000 0.000 0.000 4.862 0.000 0.000 0.000 3.876" Properties=species:S:1:pos:R:3 comment="NaP2CO, relaxed, DFT PBE-GGA" total_magnetization_mub_per_fu=1.8 volume_a3_per_cell=91.6 spacegroup="P4/mmm (123)" pbc="T T T"
P 0.000 2.431 0.000
P 2.431 0.000 0.000
C 2.431 2.431 1.938
Na 0.000 0.000 0.000
O 0.000 0.000 1.938

Which structure loses on stability? #B does.